# YHo2Ag6

YHo2Ag6 after structural relaxation (PBE, Alexandria via LeMat-Bulk).

## Properties
total energy = -3.891 eV/atom
formation energy from the elements = -0.25 eV per atom
size of the total moment = 0.00 μB per formula unit
ρ = 9.0 g/cm³
N(E_F) = 4.70 states/eV/f.u.
space group = C2/m (12)

Cell: 5.3132 5.2922 8.4761 Å, 71.81 81.08 60.21°
With the nearest neighbours (Å) after each atom.
Sites, in units of the cell vectors:
Ag (0.6760, 0.6626, 0.5000)  5 Ag 2.99-3.11, 3 Y 3.03-3.12, 2 Ho 3.08
Ag (0.3240, 0.3374, 0.5000)  5 Ag 2.99-3.11, 3 Y 3.03-3.12, 2 Ho 3.08
Ho (0.5000, 0.1650, 0.1699)  10 Ag 3.05-3.11
Y (0.0000, 0.0000, 0.5000)  10 Ag 3.03-3.12
Ag (0.1657, 0.8321, 0.1659)  5 Ag 3.03-3.08, 4 Ho 3.05-3.11, 1 Y 3.10
Ag (0.8343, 0.5020, 0.1659)  5 Ag 3.03-3.08, 4 Ho 3.05-3.11, 1 Y 3.10
Ho (0.5000, 0.8350, 0.8301)  10 Ag 3.05-3.11
Ag (0.1657, 0.4980, 0.8341)  5 Ag 3.03-3.08, 4 Ho 3.05-3.11, 1 Y 3.10
Ag (0.8343, 0.1679, 0.8341)  5 Ag 3.03-3.08, 4 Ho 3.05-3.11, 1 Y 3.10